Pm5Cu2Si5 | PBE-GGA | relaxed

The structure in POSCAR format:
```
Pm5Cu2Si5
1.0
5.3633 -2.1012 0.0000
5.3633 2.1012 0.0000
-2.6003 0.0000 11.8361
Pm Cu Si
5 2 5
Direct
0.0000 0.0000 0.0000
0.3427 0.3427 0.5705
0.3475 0.3475 0.2246
0.6525 0.6525 0.7754
0.6573 0.6573 0.4295
0.3823 0.3823 0.8145
0.6177 0.6177 0.1855
0.0000 0.0000 0.5000
0.0696 0.0696 0.2632
0.2787 0.2787 0.9621
0.7213 0.7213 0.0379
0.9304 0.9304 0.7368
```

Values from the calculation:
Magnetization   0.00 μB/cell
Crystal system   monoclinic
ΔE_f (raw)   -0.51 eV per atom
Space group   C2/m
Total DFT energy (no corrections)   -5.435 eV/atom